[1]
# Pm5Dy4Y3

Pm5Dy4Y3 after structural relaxation (PBE, Alexandria).

Computed properties:
Theoretical density = 6.92 g cm⁻³
ΔH_f (0 K) = 1 kJ/mol of atoms
Calculated volume = 32.8 Å³ per atom
Offset from the most stable computed form = 0 meV/atom
DFT total energy = -5.11 eV/atom

Lattice parameters (Å, degrees): 6.2237 7.1879 8.8036 90.08 90.12 90.16
With the nearest neighbours (Å) after each atom.
Space group P-1 (No. 2)
Inequivalent atoms, fractional coordinates:
Pm1 0.0000 0.0000 0.0000  4 Pm 3.59, 4 Y 3.59-3.61, 4 Dy 3.60
Pm2 0.3330 0.4996 0.3343  4 Y 3.58-3.60, 3 Pm 3.58-3.61, 5 Dy 3.58-3.60
Pm3 0.4991 0.7514 0.9993  6 Pm 3.57-3.61, 3 Y 3.59-3.61, 3 Dy 3.59-3.60
Dy1 0.1671 0.7512 0.6650  4 Y 3.56-3.61, 3 Dy 3.57-3.60, 5 Pm 3.58-3.60
Dy2 0.3342 0.0003 0.3346  4 Dy 3.57-3.60, 3 Y 3.57-3.59, 5 Pm 3.59-3.60
Y1 0.0000 0.5000 0.0000  8 Pm 3.59-3.61, 2 Dy 3.61, 2 Y 3.61
Y2 0.1664 0.2485 0.6646  6 Dy 3.56-3.61, 5 Pm 3.58-3.61, 1 Y 3.61

=====

[2]
# Pm5Dy4Y

Pm5Dy4Y after structural relaxation (PBE, Alexandria).

Computed properties:
Theoretical density = 7.13 g cm⁻³
ΔH_f (0 K) = 15 kJ/mol of atoms
Calculated volume = 34.1 Å³ per atom
Offset from the most stable computed form = 114 meV/atom
DFT total energy = -4.71 eV/atom

Lattice parameters (Å, degrees): 18.2011 3.5943 10.4809 90.00 96.09 90.00
With the nearest neighbours (Å) after each atom.
Space group C2/m (No. 12)
Inequivalent atoms, fractional coordinates:
Pm1 0.0000 0.0000 0.0000  4 Dy 3.31, 2 Pm 3.59
Pm2 0.1425 0.5000 0.7318  2 Dy 3.43-3.66, 5 Pm 3.59-3.84, 2 Y 3.81
Pm3 0.1890 0.5000 0.0958  1 Dy 3.29, 4 Pm 3.59-3.63
Dy1 0.0453 0.5000 0.2613  2 Y 3.26, 4 Pm 3.29-3.43, 4 Dy 3.34-3.59
Dy2 0.1827 0.0000 0.4124  6 Dy 3.34-3.59, 1 Y 3.54, 1 Pm 3.66
Y1 0.0000 0.0000 0.5000  6 Dy 3.26-3.54, 2 Y 3.59

=====

[3]
# Pm8Dy2Y

Pm8Dy2Y after structural relaxation (PBE, Alexandria).

Computed properties:
Theoretical density = 6.97 g cm⁻³
ΔH_f (0 K) = 12 kJ/mol of atoms
Calculated volume = 34.1 Å³ per atom
Offset from the most stable computed form = 0 meV/atom
DFT total energy = -4.76 eV/atom

Lattice parameters (Å, degrees): 11.2370 7.4537 9.3305 90.00 106.26 90.00
With the nearest neighbours (Å) after each atom.
Space group C2/m (No. 12)
Inequivalent atoms, fractional coordinates:
Pm1 0.0688 0.2176 0.2766  5 Pm 3.24-3.62, 1 Y 3.25, 2 Dy 3.47-3.52
Pm2 0.1769 0.0000 0.6257  7 Pm 3.45-3.53, 3 Dy 3.52-3.75
Pm3 0.1887 0.0000 0.9989  5 Pm 3.45-3.67, 1 Dy 3.48, 1 Y 3.50
Dy1 0.1419 0.5000 0.6270  1 Dy 3.40, 10 Pm 3.47-3.78
Y1 0.0000 0.5000 0.0000  6 Pm 3.25-3.50

=====

[4]
# Pm3Dy7Y2

Pm3Dy7Y2 after structural relaxation (PBE, Alexandria).

Computed properties:
Theoretical density = 7.41 g cm⁻³
ΔH_f (0 K) = 8 kJ/mol of atoms
Calculated volume = 32.7 Å³ per atom
Offset from the most stable computed form = 0 meV/atom
DFT total energy = -4.87 eV/atom

Lattice parameters (Å, degrees): 6.3642 3.5311 17.5516 90.00 96.17 90.00
With the nearest neighbours (Å) after each atom.
Space group P2/m (No. 10)
Inequivalent atoms, fractional coordinates:
Pm1 0.0000 0.0000 0.0000  2 Pm 3.53, 10 Dy 3.56-3.64
Pm2 0.0482 0.5000 0.6588  2 Pm 3.53, 7 Dy 3.63-3.72, 4 Y 3.63-3.67
Dy1 0.2292 0.5000 0.1652  2 Y 3.49, 7 Dy 3.53-3.66, 3 Pm 3.57-3.72
Dy2 0.2460 0.0000 0.5007  2 Dy 3.13-3.24, 2 Y 3.43
Dy3 0.2747 0.0000 0.8336  1 Y 3.50, 8 Dy 3.53-3.66, 3 Pm 3.56-3.70
Dy4 0.5000 0.5000 0.0000  8 Dy 3.53-3.58, 4 Pm 3.64
Y1 0.4440 0.0000 0.3268  5 Dy 3.43-3.50, 2 Y 3.53, 4 Pm 3.63-3.67

=====

[5]
# Pm3Dy8Y4

Pm3Dy8Y4 after structural relaxation (PBE, Alexandria).

Computed properties:
Theoretical density = 6.90 g cm⁻³
ΔH_f (0 K) = 37 kJ/mol of atoms
Calculated volume = 33.5 Å³ per atom
DFT total energy = -4.74 eV/atom

Lattice parameters (Å, degrees): 13.4232 12.7884 6.7909 90.00 120.33 90.00
With the nearest neighbours (Å) after each atom.
Space group C2/m (No. 12)
Inequivalent atoms, fractional coordinates:
Pm1 0.0000 0.0000 0.0000  6 Dy 3.13-3.22
Pm2 0.2500 0.2500 0.0000  4 Dy 3.21-3.36, 2 Y 3.40
Dy1 0.0000 0.1416 0.5000  7 Dy 3.58-3.66, 2 Y 3.63, 4 Pm 3.63-3.85
Dy2 0.0000 0.2451 0.0000  3 Pm 3.13-3.36, 3 Y 3.26-3.36
Dy3 0.2294 0.0000 0.9608  3 Pm 3.21-3.22, 4 Dy 3.23-3.58, 1 Y 3.51
Dy4 0.2337 0.0000 0.4888  4 Y 3.20-3.54, 1 Pm 3.22, 2 Dy 3.23-3.56
Y1 0.0000 0.5000 0.0000  6 Dy 3.26-3.51, 2 Y 3.40
Y2 0.0000 0.5000 0.5000  2 Y 3.40, 4 Dy 3.54-3.63
Y3 0.2500 0.2500 0.5000  4 Dy 3.20-3.36, 2 Pm 3.40

=====

[6]
# Pm6Dy5Y

Pm6Dy5Y after structural relaxation (PBE, Alexandria).

Computed properties:
Theoretical density = 7.44 g cm⁻³
ΔH_f (0 K) = 1 kJ/mol of atoms
Calculated volume = 33.0 Å³ per atom
DFT total energy = -4.82 eV/atom

Lattice parameters (Å, degrees): 5.1006 10.1382 15.2929 90.00 90.00 90.00
With the nearest neighbours (Å) after each atom.
Space group Immm (No. 71)
Inequivalent atoms, fractional coordinates:
Pm1 0.0000 0.2492 0.0000  6 Dy 3.59-3.60, 2 Y 3.60, 4 Pm 3.61
Pm2 0.0000 0.2504 0.3331  7 Dy 3.59-3.60, 4 Pm 3.60-3.61, 1 Y 3.60
Dy1 0.0000 0.0000 0.1669  8 Pm 3.59, 4 Dy 3.60-3.61
Dy2 0.0000 0.5000 0.1669  8 Pm 3.59-3.60, 2 Dy 3.60, 2 Y 3.61
Dy3 0.0000 0.5000 0.5000  8 Pm 3.59, 4 Dy 3.61
Y1 0.0000 0.0000 0.5000  8 Pm 3.60, 4 Dy 3.61

=====

[7]
# PmDy12Y2

PmDy12Y2 after structural relaxation (PBE, Alexandria).

Computed properties:
Theoretical density = 7.81 g cm⁻³
ΔH_f (0 K) = 10 kJ/mol of atoms
Calculated volume = 32.2 Å³ per atom
DFT total energy = -4.75 eV/atom

Lattice parameters (Å, degrees): 7.1342 11.1634 24.3274 90.00 94.24 90.00
With the nearest neighbours (Å) after each atom.
Space group C2/m (No. 12)
Inequivalent atoms, fractional coordinates:
Pm1 0.2499 0.0000 0.9998  2 Dy 3.35, 2 Pm 3.57
Dy1 0.0185 0.2500 0.0747  9 Dy 3.57-3.66, 4 Pm 3.77-3.78
Dy2 0.1125 0.2493 0.4448  10 Dy 3.21-3.57
Dy3 0.1417 0.5000 0.5747  8 Dy 3.34-3.62
Dy4 0.1429 0.0000 0.5740  8 Dy 3.34-3.63
Dy5 0.1667 0.2497 0.6696  3 Dy 3.12-3.30
Dy6 0.1994 0.2505 0.7980  3 Dy 3.12-3.19
Dy7 0.2150 0.0000 0.8616  4 Dy 3.19-3.57, 1 Pm 3.35
Dy8 0.2152 0.5000 0.8622  4 Dy 3.19-3.57, 1 Pm 3.35
Y1 0.0682 0.5000 0.2724  2 Y 3.56-3.57, 10 Dy 3.60-3.73
Y2 0.0690 0.0000 0.2726  2 Y 3.56-3.57, 10 Dy 3.60-3.73

=====

[8]
# Pm4Dy3Y4

Pm4Dy3Y4 after structural relaxation (PBE, Alexandria).

Computed properties:
Theoretical density = 6.34 g cm⁻³
ΔH_f (0 K) = 12 kJ/mol of atoms
Calculated volume = 33.9 Å³ per atom
Offset from the most stable computed form = 73 meV/atom
DFT total energy = -5.21 eV/atom

Lattice parameters (Å, degrees): 3.6054 9.3400 22.1325 90.00 90.00 90.00
With the nearest neighbours (Å) after each atom.
Space group Immm (No. 71)
Inequivalent atoms, fractional coordinates:
Pm1 0.0000 0.1784 0.1428  3 Pm 3.33-3.61, 4 Y 3.42-3.71, 2 Dy 3.58
Dy1 0.0000 0.0000 0.3915  6 Y 3.45, 4 Pm 3.58, 2 Dy 3.61
Dy2 0.0000 0.5000 0.5000  4 Y 3.47, 2 Dy 3.61
Y1 0.0000 0.3179 0.0000  3 Y 3.40-3.61, 2 Pm 3.42, 6 Dy 3.45-3.47
Y2 0.0000 0.5000 0.2414  2 Dy 3.45, 6 Pm 3.55-3.71, 2 Y 3.61

=====

Q: The lowest theoretical density belongs to which entry?
A: Pm4Dy3Y4

=====

Q: Look up the calculated volume of the eighth one.
A: 33.9 Å³ per atom